Below is a relaxed Pm2PuAu4 crystal, with properties calculated at the GGA-PBE level.

The structure in CIF format:
```
data_Pm2PuAu4
_cell_length_a 7.062
_cell_length_b 7.062
_cell_length_c 7.436
_cell_angle_alpha 90.00
_cell_angle_beta 90.00
_cell_angle_gamma 90.00
_space_group_name_H-M_alt 'I 4/m m m'
_space_group_IT_number 139
_space_group_name_Hall '-I 4 2'
loop_
_atom_site_label
_atom_site_type_symbol
_atom_site_fract_x
_atom_site_fract_y
_atom_site_fract_z
Pm1 Pm 0.000 0.500 0.000
Pu1 Pu 0.000 0.000 0.000
Au1 Au 0.250 0.250 0.250
```

Output
The calculated volume comes out at 26.49 Å³/atom. Its formation energy is -0.503 eV/atom.

=====

Below is a relaxed PmPuRuAu crystal, with properties calculated at the GGA-PBE level.

The structure in CIF format:
```
data_PmPuRuAu
_cell_length_a 7.102
_cell_length_b 7.102
_cell_length_c 7.102
_cell_angle_alpha 90.00
_cell_angle_beta 90.00
_cell_angle_gamma 90.00
_space_group_name_H-M_alt 'F -4 3 m'
_space_group_IT_number 216
_space_group_name_Hall 'F -4 2 3'
loop_
_atom_site_label
_atom_site_type_symbol
_atom_site_fract_x
_atom_site_fract_y
_atom_site_fract_z
Pm1 Pm 0.000 0.000 0.000
Pu1 Pu 0.000 0.000 0.500
Ru1 Ru 0.250 0.250 0.750
Au1 Au 0.250 0.250 0.250
```

Output
The calculated volume comes out at 22.39 Å³/atom. Its formation energy is -0.278 eV/atom.

=====

Below is a relaxed PmPuSbAu crystal, with properties calculated at the GGA-PBE level.

The structure in CIF format:
```
data_PmPuSbAu
_cell_length_a 7.508
_cell_length_b 7.508
_cell_length_c 7.508
_cell_angle_alpha 90.00
_cell_angle_beta 90.00
_cell_angle_gamma 90.00
_space_group_name_H-M_alt 'F -4 3 m'
_space_group_IT_number 216
_space_group_name_Hall 'F -4 2 3'
loop_
_atom_site_label
_atom_site_type_symbol
_atom_site_fract_x
_atom_site_fract_y
_atom_site_fract_z
Pm1 Pm 0.000 0.000 0.000
Pu1 Pu 0.000 0.000 0.500
Sb1 Sb 0.250 0.250 0.250
Au1 Au 0.250 0.250 0.750
```

Output
The value obtained for the raw total energy is -7.285 eV/atom. The calculated volume comes out at 26.45 Å³/atom.

=====

Below is a relaxed PmPuSnAu crystal, with properties calculated at the GGA-PBE level.

The structure in CIF format:
```
data_PmPuSnAu
_cell_length_a 7.521
_cell_length_b 7.521
_cell_length_c 7.521
_cell_angle_alpha 90.00
_cell_angle_beta 90.00
_cell_angle_gamma 90.00
_space_group_name_H-M_alt 'F -4 3 m'
_space_group_IT_number 216
_space_group_name_Hall 'F -4 2 3'
loop_
_atom_site_label
_atom_site_type_symbol
_atom_site_fract_x
_atom_site_fract_y
_atom_site_fract_z
Pm1 Pm 0.000 0.000 0.000
Pu1 Pu 0.000 0.000 0.500
Sn1 Sn 0.250 0.250 0.750
Au1 Au 0.250 0.250 0.250
```

Output
The calculated volume comes out at 26.59 Å³/atom. Its formation energy is -0.519 eV/atom.

=====

Below is a relaxed PmPuTcAu crystal, with properties calculated at the GGA-PBE level.

The structure in CIF format:
```
data_PmPuTcAu
_cell_length_a 7.095
_cell_length_b 7.095
_cell_length_c 7.095
_cell_angle_alpha 90.00
_cell_angle_beta 90.00
_cell_angle_gamma 90.00
_space_group_name_H-M_alt 'F -4 3 m'
_space_group_IT_number 216
_space_group_name_Hall 'F -4 2 3'
loop_
_atom_site_label
_atom_site_type_symbol
_atom_site_fract_x
_atom_site_fract_y
_atom_site_fract_z
Pm1 Pm 0.000 0.000 0.000
Pu1 Pu 0.000 0.000 0.500
Tc1 Tc 0.250 0.250 0.750
Au1 Au 0.250 0.250 0.250
```

Output
The calculated volume comes out at 22.32 Å³/atom. Its formation energy is -0.092 eV/atom.

=====

Below is a relaxed PmPuTeAu crystal, with properties calculated at the GGA-PBE level.

The structure in CIF format:
```
data_PmPuTeAu
_cell_length_a 7.514
_cell_length_b 7.514
_cell_length_c 7.514
_cell_angle_alpha 90.00
_cell_angle_beta 90.00
_cell_angle_gamma 90.00
_space_group_name_H-M_alt 'F -4 3 m'
_space_group_IT_number 216
_space_group_name_Hall 'F -4 2 3'
loop_
_atom_site_label
_atom_site_type_symbol
_atom_site_fract_x
_atom_site_fract_y
_atom_site_fract_z
Pm1 Pm 0.000 0.000 0.000
Pu1 Pu 0.000 0.000 0.500
Te1 Te 0.250 0.250 0.250
Au1 Au 0.250 0.250 0.750
```

Output
The value obtained for the raw total energy is -7.113 eV/atom. The calculated volume comes out at 26.51 Å³/atom.

=====

Below is a relaxed RbPmAu10 crystal, with properties calculated at the GGA-PBE level.

The structure in CIF format:
```
data_RbPmAu10
_cell_length_a 4.682
_cell_length_b 5.665
_cell_length_c 9.987
_cell_angle_alpha 90.00
_cell_angle_beta 90.00
_cell_angle_gamma 90.00
_space_group_name_H-M_alt 'P m m m'
_space_group_IT_number 47
loop_
_space_group_symop_operation_xyz
'x,y,z'
'-x,-y,-z'
'-x,-y,z'
'x,y,-z'
'x,-y,-z'
'-x,y,z'
'-x,y,-z'
'x,-y,z'
loop_
_atom_site_label
_atom_site_type_symbol
_atom_site_fract_x
_atom_site_fract_y
_atom_site_fract_z
Rb1 Rb 0.000 0.000 0.000
Pm1 Pm 0.000 0.500 0.500
Au1 Au 0.000 0.000 0.342
Au2 Au 0.000 0.500 0.183
Au3 Au 0.500 0.000 0.500
Au4 Au 0.500 0.255 0.259
Au5 Au 0.500 0.500 0.000
```

Output
The calculated volume comes out at 22.08 Å³/atom. Its formation energy is -0.278 eV/atom.

=====

Below is a relaxed RbPm2AuS4 crystal, with properties calculated at the GGA-PBE level.

The structure in CIF format:
```
data_RbPm2AuS4
_cell_length_a 4.142
_cell_length_b 14.077
_cell_length_c 14.368
_cell_angle_alpha 90.00
_cell_angle_beta 90.00
_cell_angle_gamma 90.00
_space_group_name_H-M_alt 'C m c m'
_space_group_IT_number 63
_space_group_name_Hall '-C 2c 2'
loop_
_atom_site_label
_atom_site_type_symbol
_atom_site_fract_x
_atom_site_fract_y
_atom_site_fract_z
Rb1 Rb 0.000 0.117 0.250
Pm1 Pm 0.000 0.368 0.066
Au1 Au 0.000 0.158 0.750
S1 S 0.000 0.000 0.000
S2 S 0.000 0.261 0.604
S3 S 0.000 0.442 0.250
```

Output
The value obtained for the raw total energy is -5.325 eV/atom. The calculated volume comes out at 26.18 Å³/atom.